Density functional theory data (PBE with a Hubbard U) for an optimized crystal structure of AcZnMoO4.

Total DFT energy (no corrections)   -185.73 eV/cell
M_tot   12.00 μB/cell

Lattice parameters (Å, degrees): 6.6914 8.3191 8.8619 90.00 90.00 90.00
Space group Imma (No. 74)
Inequivalent atoms, fractional coordinates:
Ac1 0.0000 0.0000 0.0000 [4 per cell]
Zn1 0.0000 0.2500 0.4817 [4 per cell]
Mo1 0.2500 0.2500 0.7500 [4 per cell]
O1 0.0000 0.0836 0.7317 [8 per cell]
O2 0.2257 0.2500 0.0000 [8 per cell]